(1)
A plane-wave DFT calculation with GGA-PBE was carried out for a relaxed structure of La4PtS2Cl.

Values from the calculation:
Formation energy without anion corrections: -1770 meV/atom
Fermi-level density of states: 5.31 states/eV/f.u.
Space-group type: P2/m (10)

a = 7.3135 Å, b = 4.1105 Å, c = 7.4238 Å
α = 90.00°, β = 109.42°, γ = 90.00°
With the nearest neighbours (Å) after each atom.
Fractional positions:
La  0.2417  0.0000  0.2506  2 Pt 2.94, 3 S 2.95-2.98, 1 Cl 3.06
La  0.2426  0.5000  0.7326  3 S 2.88-2.95, 2 Cl 3.04, 1 Pt 3.07
La  0.7574  0.5000  0.2674  3 S 2.88-2.95, 2 Cl 3.04, 1 Pt 3.07
La  0.7583  0.0000  0.7494  2 Pt 2.94, 3 S 2.95-2.98, 1 Cl 3.06
Pt  0.0000  0.5000  0.0000  6 La 2.94-3.07
S  0.0000  0.0000  0.5000  6 La 2.88-2.95
S  0.5000  0.5000  0.5000  6 La 2.95-2.98
Cl  0.5000  0.0000  0.0000  6 La 3.04-3.06

***

(2)
A plane-wave DFT calculation with GGA-PBE was carried out for a relaxed structure of Li3CdHg6.

Values from the calculation:
Fermi-level density of states: 2.12 states/eV/f.u.
Space-group type: P2_1/m (11)
Formation energy from the elements: -227 meV per atom

a = 8.3828 Å, b = 5.0144 Å, c = 10.7519 Å
α = 90.00°, β = 110.30°, γ = 90.00°
With the nearest neighbours (Å) after each atom.
Fractional positions:
Li  0.0517  0.2500  0.3822  8 Hg 2.92-3.14
Li  0.1384  0.7500  0.2176  8 Hg 2.88-3.02
Li  0.2779  0.2500  0.9815  11 Hg 2.99-3.18
Li  0.7221  0.7500  0.0185  11 Hg 2.99-3.18
Li  0.8616  0.2500  0.7824  8 Hg 2.88-3.02
Li  0.9483  0.7500  0.6178  8 Hg 2.92-3.14
Cd  0.4532  0.2500  0.5741  8 Hg 2.99-3.22, 2 Cd 3.21, 1 Li 3.28
Cd  0.5468  0.7500  0.4259  8 Hg 2.99-3.22, 2 Cd 3.21, 1 Li 3.28
Hg  0.0296  0.7500  0.9261  7 Li 2.94-3.18, 5 Hg 3.03-3.28
Hg  0.1424  0.2500  0.6855  5 Li 2.89-3.08, 3 Hg 3.08-3.11, 1 Cd 3.22
Hg  0.2259  0.7500  0.5123  4 Li 2.92-2.99, 3 Cd 3.08-3.14, 2 Hg 3.08-3.23
Hg  0.3294  0.2500  0.2741  4 Li 2.92-3.02, 3 Cd 3.03-3.19, 3 Hg 3.03-3.20
Hg  0.3405  0.7500  0.8314  8 Hg 3.03-3.34, 4 Li 3.12-3.29
Hg  0.4262  0.7500  0.1292  4 Li 2.88-3.10, 1 Cd 2.99, 5 Hg 3.03-3.20
Hg  0.5738  0.2500  0.8708  4 Li 2.88-3.10, 1 Cd 2.99, 5 Hg 3.03-3.20
Hg  0.6595  0.2500  0.1686  8 Hg 3.03-3.34, 4 Li 3.12-3.29
Hg  0.6706  0.7500  0.7259  4 Li 2.92-3.02, 3 Cd 3.03-3.19, 3 Hg 3.03-3.20
Hg  0.7741  0.2500  0.4877  4 Li 2.92-2.99, 3 Cd 3.08-3.14, 2 Hg 3.08-3.23
Hg  0.8576  0.7500  0.3145  5 Li 2.89-3.08, 3 Hg 3.08-3.11, 1 Cd 3.22
Hg  0.9704  0.2500  0.0739  7 Li 2.94-3.18, 5 Hg 3.03-3.28

***

(3)
A plane-wave DFT calculation with GGA-PBE was carried out for a relaxed structure of Ce3Th12Mg.

Values from the calculation:
Fermi-level density of states: 27.78 states/eV/f.u.
Space-group type: P4/mmm (123)
Formation energy from the elements: 40 meV per atom

a = 4.9693 Å, b = 4.9693 Å, c = 20.0300 Å
α = 90.00°, β = 90.00°, γ = 90.00°
With the nearest neighbours (Å) after each atom.
Fractional positions:
Ce  0.0000  0.0000  0.0000  12 Th 3.51-3.52
Ce  0.0000  0.0000  0.2482  12 Th 3.51-3.56
Ce  0.0000  0.0000  0.7518  12 Th 3.51-3.56
Th  0.0000  0.5000  0.1242  4 Ce 3.51-3.52, 8 Th 3.51-3.52
Th  0.0000  0.5000  0.3756  8 Th 3.51-3.56, 2 Mg 3.52, 2 Ce 3.56
Th  0.0000  0.5000  0.6244  8 Th 3.51-3.56, 2 Mg 3.52, 2 Ce 3.56
Th  0.0000  0.5000  0.8758  4 Ce 3.51-3.52, 8 Th 3.51-3.52
Th  0.5000  0.0000  0.1242  4 Ce 3.51-3.52, 8 Th 3.51-3.52
Th  0.5000  0.0000  0.3756  8 Th 3.51-3.56, 2 Mg 3.52, 2 Ce 3.56
Th  0.5000  0.0000  0.6244  8 Th 3.51-3.56, 2 Mg 3.52, 2 Ce 3.56
Th  0.5000  0.0000  0.8758  4 Ce 3.51-3.52, 8 Th 3.51-3.52
Th  0.5000  0.5000  0.0000  4 Ce 3.51, 8 Th 3.52
Th  0.5000  0.5000  0.2486  4 Ce 3.51, 8 Th 3.52-3.56
Th  0.5000  0.5000  0.5000  4 Mg 3.51, 8 Th 3.52
Th  0.5000  0.5000  0.7514  4 Ce 3.51, 8 Th 3.52-3.56
Mg  0.0000  0.0000  0.5000  12 Th 3.51-3.52

***

(4)
A plane-wave DFT calculation with GGA-PBE was carried out for a relaxed structure of NdHfSn2.

Values from the calculation:
Fermi-level density of states: 3.13 states/eV/f.u.
Space-group type: P4/mmm (123)
Formation energy from the elements: -391 meV per atom

a = 3.9022 Å, b = 3.9022 Å, c = 6.7107 Å
α = 90.00°, β = 90.00°, γ = 90.00°
With the nearest neighbours (Å) after each atom.
Fractional positions:
Nd  0.0000  0.0000  0.0000  8 Sn 3.34, 2 Hf 3.36
Hf  0.0000  0.0000  0.5000  8 Sn 3.12, 2 Nd 3.36
Sn  0.5000  0.5000  0.2815  1 Sn 2.93, 4 Hf 3.12
Sn  0.5000  0.5000  0.7185  1 Sn 2.93, 4 Hf 3.12

***

(5)
A plane-wave DFT calculation with GGA-PBE was carried out for a relaxed structure of LaBeCu2Rh.

Values from the calculation:
Fermi-level density of states: 2.93 states/eV/f.u.
Space-group type: P4/mmm (123)
Formation energy from the elements: -194 meV per atom

a = 4.2889 Å, b = 4.2889 Å, c = 4.5251 Å
α = 90.00°, β = 90.00°, γ = 90.00°
With the nearest neighbours (Å) after each atom.
Fractional positions:
La  0.0000  0.0000  0.0000  4 Rh 3.03, 8 Cu 3.12
Be  0.5000  0.5000  0.5000  4 Cu 2.14, 2 Rh 2.26
Cu  0.0000  0.5000  0.5000  2 Be 2.14
Cu  0.5000  0.0000  0.5000  2 Be 2.14
Rh  0.5000  0.5000  0.0000  2 Be 2.26

***

(6)
A plane-wave DFT calculation with GGA-PBE was carried out for a relaxed structure of Mo2PtSe.

Values from the calculation:
Formation energy without anion corrections: 256 meV/atom
Fermi-level density of states: 3.79 states/eV/f.u.
Space-group type: Pmmm (47)

a = 3.0790 Å, b = 3.9192 Å, c = 5.4654 Å
α = 90.00°, β = 90.00°, γ = 90.00°
With the nearest neighbours (Å) after each atom.
Fractional positions:
Mo  0.0000  0.0000  0.2288  1 Mo 2.50, 4 Pt 2.79
Mo  0.0000  0.0000  0.7712  1 Mo 2.50, 4 Pt 2.79
Pt  0.5000  0.5000  0.0000  2 Se 2.73, 8 Mo 2.79
Se  0.5000  0.5000  0.5000  2 Pt 2.73, 8 Mo 2.90

***

(7)
A plane-wave DFT calculation with GGA-PBE was carried out for a relaxed structure of Ce3Ge2N.

Values from the calculation:
Formation energy without anion corrections: -842 meV/atom
Fermi-level density of states: 12.14 states/eV/f.u.
Space-group type: Cmcm (63)

a = 6.6692 Å, b = 6.6692 Å, c = 6.3155 Å
α = 90.00°, β = 90.00°, γ = 79.19°
With the nearest neighbours (Å) after each atom.
Fractional positions:
Ce  0.1501  0.8499  0.7500  1 N 2.24
Ce  0.3334  0.3334  0.0000  2 N 2.44
Ce  0.3334  0.3334  0.5000  2 N 2.44
Ce  0.6666  0.6666  0.0000  2 N 2.44
Ce  0.6666  0.6666  0.5000  2 N 2.44
Ce  0.8499  0.1501  0.2500  1 N 2.24
Ge  0.0575  0.6883  0.2500  1 Ge 2.61
Ge  0.3117  0.9425  0.2500  1 Ge 2.61
Ge  0.6883  0.0575  0.7500  1 Ge 2.61
Ge  0.9425  0.3117  0.7500  1 Ge 2.61
N  0.4132  0.5868  0.7500  5 Ce 2.24-2.44
N  0.5868  0.4132  0.2500  5 Ce 2.24-2.44

***

(8)
A plane-wave DFT calculation with GGA-PBE was carried out for a relaxed structure of Tm6Cd2Ag.

Values from the calculation:
Fermi-level density of states: 11.25 states/eV/f.u.
Space-group type: P2_1/c (14)
Formation energy from the elements: -74 meV per atom

a = 6.1306 Å, b = 9.1638 Å, c = 10.0728 Å
α = 90.00°, β = 118.54°, γ = 90.00°
With the nearest neighbours (Å) after each atom.
Fractional positions:
Tm  0.0514  0.1718  0.4575  3 Cd 2.93-3.23, 1 Ag 3.08
Tm  0.0514  0.3282  0.9575  3 Cd 2.93-3.23, 1 Ag 3.08
Tm  0.3651  0.6820  0.4427  1 Ag 3.06, 3 Cd 3.14-3.37
Tm  0.3651  0.8180  0.9427  1 Ag 3.06, 3 Cd 3.14-3.37
Tm  0.4205  0.0326  0.3061  1 Ag 2.94
Tm  0.4205  0.4674  0.8061  1 Ag 2.94
Tm  0.5795  0.5326  0.1939  1 Ag 2.94
Tm  0.5795  0.9674  0.6939  1 Ag 2.94
Tm  0.6349  0.1820  0.0573  1 Ag 3.06, 3 Cd 3.14-3.37
Tm  0.6349  0.3180  0.5573  1 Ag 3.06, 3 Cd 3.14-3.37
Tm  0.9486  0.6718  0.0425  3 Cd 2.93-3.23, 1 Ag 3.08
Tm  0.9486  0.8282  0.5425  3 Cd 2.93-3.23, 1 Ag 3.08
Cd  0.1376  0.1084  0.7637  5 Tm 2.93-3.23, 1 Ag 3.05
Cd  0.1376  0.3916  0.2637  5 Tm 2.93-3.23, 1 Ag 3.05
Cd  0.8624  0.6084  0.7363  5 Tm 2.93-3.23, 1 Ag 3.05
Cd  0.8624  0.8916  0.2363  5 Tm 2.93-3.23, 1 Ag 3.05
Ag  0.0000  0.0000  0.0000  6 Tm 2.94-3.08, 2 Cd 3.05
Ag  0.0000  0.5000  0.5000  6 Tm 2.94-3.08, 2 Cd 3.05

***

(9)
A plane-wave DFT calculation with GGA-PBE was carried out for a relaxed structure of PuSi2Mo4.

Values from the calculation:
Formation energy without anion corrections: -229 meV/atom
Fermi-level density of states: 7.92 states/eV/f.u.
Space-group type: Cmmm (65)

a = 8.3048 Å, b = 8.3048 Å, c = 3.3469 Å
α = 90.00°, β = 90.00°, γ = 149.45°
With the nearest neighbours (Å) after each atom.
Fractional positions:
Pu  0.0000  0.0000  0.0000  8 Si 3.00, 4 Mo 3.25, 2 Pu 3.35
Si  0.4265  0.5735  0.5000  1 Si 2.36, 2 Mo 2.48
Si  0.5735  0.4265  0.5000  1 Si 2.36, 2 Mo 2.48
Mo  0.1739  0.8261  0.5000  2 Si 2.72, 6 Mo 2.76-2.78
Mo  0.3123  0.6877  0.0000  2 Si 2.48, 4 Mo 2.76
Mo  0.6877  0.3123  0.0000  2 Si 2.48, 4 Mo 2.76
Mo  0.8261  0.1739  0.5000  2 Si 2.72, 6 Mo 2.76-2.78

***

(10)
A plane-wave DFT calculation with GGA-PBE was carried out for a relaxed structure of K2HgBiSe4.

Values from the calculation:
Formation energy without anion corrections: -577 meV/atom
Fermi-level density of states: 9.42 states/eV/f.u.
Space-group type: P2/m (10)

a = 7.6509 Å, b = 4.1138 Å, c = 8.2412 Å
α = 90.00°, β = 109.23°, γ = 90.00°
With the nearest neighbours (Å) after each atom.
Fractional positions:
K  0.0000  0.0000  0.0000  6 Se 3.27-3.52
K  0.5000  0.5000  0.0000  6 Se 3.24-3.44
Hg  0.0000  0.5000  0.5000  4 Se 2.78
Bi  0.5000  0.0000  0.5000  6 Se 2.92-3.02
Se  0.2208  0.0000  0.6868  2 Hg 2.78, 1 Bi 3.02
Se  0.2782  0.5000  0.2739  2 Bi 2.92, 1 K 3.24, 1 Hg 3.26
Se  0.7218  0.5000  0.7261  2 Bi 2.92, 1 K 3.24, 1 Hg 3.26
Se  0.7792  0.0000  0.3132  2 Hg 2.78, 1 Bi 3.02

***

(11)
A plane-wave DFT calculation with GGA-PBE was carried out for a relaxed structure of Y3TlSn2.

Values from the calculation:
Fermi-level density of states: 4.98 states/eV/f.u.
Space-group type: C2/c (15)
Formation energy from the elements: -551 meV per atom

a = 8.8806 Å, b = 8.8806 Å, c = 6.3954 Å
α = 100.66°, β = 100.66°, γ = 41.73°
With the nearest neighbours (Å) after each atom.
Fractional positions:
Y  0.1248  0.8752  0.7500  2 Tl 3.14-3.19, 4 Sn 3.15-3.37
Y  0.2138  0.4434  0.4019  5 Sn 3.13-3.49, 1 Tl 3.18
Y  0.4434  0.2138  0.9019  5 Sn 3.13-3.49, 1 Tl 3.18
Y  0.5566  0.7862  0.0981  5 Sn 3.13-3.49, 1 Tl 3.18
Y  0.7862  0.5566  0.5981  5 Sn 3.13-3.49, 1 Tl 3.18
Y  0.8752  0.1248  0.2500  2 Tl 3.14-3.19, 4 Sn 3.15-3.37
Tl  0.3794  0.6206  0.2500  4 Y 3.14-3.19, 2 Sn 3.48
Tl  0.6206  0.3794  0.7500  4 Y 3.14-3.19, 2 Sn 3.48
Sn  0.0534  0.2716  0.0652  7 Y 3.13-3.49, 1 Tl 3.48, 2 Sn 3.48
Sn  0.2716  0.0534  0.5652  7 Y 3.13-3.49, 1 Tl 3.48, 2 Sn 3.48
Sn  0.7284  0.9466  0.4348  7 Y 3.13-3.49, 1 Tl 3.48, 2 Sn 3.48
Sn  0.9466  0.7284  0.9348  7 Y 3.13-3.49, 1 Tl 3.48, 2 Sn 3.48

***

(12)
A plane-wave DFT calculation with GGA-PBE was carried out for a relaxed structure of AcLa2Cd2Hg2.

Values from the calculation:
Fermi-level density of states: 5.45 states/eV/f.u.
Space-group type: R-3m (166)
Formation energy from the elements: -322 meV per atom

a = 10.0434 Å, b = 10.0434 Å, c = 10.0434 Å
α = 29.22°, β = 29.22°, γ = 29.22°
With the nearest neighbours (Å) after each atom.
Fractional positions:
Ac  0.0000  0.0000  0.0000  6 Hg 3.56, 6 Cd 3.67, 2 La 3.67
La  0.1275  0.1275  0.1275  3 Cd 3.27, 3 Hg 3.35
La  0.8725  0.8725  0.8725  3 Cd 3.27, 3 Hg 3.35
Cd  0.2564  0.2564  0.2564  3 Hg 2.93, 3 La 3.27
Cd  0.7436  0.7436  0.7436  3 Hg 2.93, 3 La 3.27
Hg  0.4039  0.4039  0.4039  3 Cd 2.93
Hg  0.5961  0.5961  0.5961  3 Cd 2.93

***

Taking the records one at a time from the top gives E_tot values of -50.01; -21.46; -107.80; -24.29; -25.17; -30.16; -80.83; -64.36; -70.10; -24.93; -66.14; -18.65 eV per cell.